Here is a geometry-optimized PrZn structure from OQMD via LeMat-Bulk. Energies are from PBE.

Calculated values
Formation energy ... -0.188 eV per atom
Total moment ... 0.00 Bohr magnetons per cell
Space-group type ... Amm2, No. 38
Final energy ... -32.07 eV for the cell shown

Cell lengths 5.1854, 9.9147, 5.0379 Å; angles 90.00, 90.00, 74.83 degrees
Last column: nearest neighbours and their distance in Å.
Sites, in units of the cell vectors:
Zn 0.2597 0.6369 0.0000  3 Zn 2.96-3.12, 5 Pr 3.02-3.30
Zn 0.7749 0.6290 0.5000  3 Zn 3.00-3.27, 6 Pr 3.00-3.22
Zn 0.0968 0.9631 0.0000  3 Zn 2.96-3.12, 5 Pr 3.02-3.30
Zn 0.6044 0.9711 0.5000  3 Zn 3.00-3.27, 6 Pr 3.01-3.22
Zn 0.1754 0.7999 0.5000  8 Zn 2.96-3.13, 2 Pr 3.23
Pr 0.4946 0.1803 0.0000  4 Zn 3.22-3.35, 2 Pr 3.46
Pr 0.8747 0.4197 0.0000  4 Zn 3.22-3.35, 2 Pr 3.46
Pr 0.3565 0.4626 0.5000  5 Zn 3.02-3.23
Pr 0.6767 0.8000 0.0000  8 Zn 3.00-3.03
Pr 0.0195 0.1374 0.5000  5 Zn 3.02-3.23